Record 1
{
  "formula": "Cs2Ag2GeI6",
  "functional": "GGA-PBE",
  "state": "relaxed",
  "lattice": [[7.643, -4.342, 0.000], [7.643, 4.342, 0.000], [-4.450, 0.000, 7.355]],
  "species": ["Cs", "Cs", "Ag", "Ag", "Ge", "I", "I", "I", "I", "I", "I"],
  "fractional_positions": [[0.241, 0.241, 0.217], [0.759, 0.759, 0.783], [0.438, 0.438, 0.793], [0.562, 0.562, 0.207], [0.000, 0.000, 0.500], [0.198, 0.722, 0.213], [0.229, 0.229, 0.665], [0.278, 0.802, 0.787], [0.722, 0.198, 0.213], [0.771, 0.771, 0.335], [0.802, 0.278, 0.787]],
  "density_g_cm3": 4.5,
  "formation_energy_uncorrected_ev_per_atom": -0.713,
  "crystal_system": "monoclinic"
}

=====

Record 2
{
  "formula": "AlCoAg2",
  "functional": "GGA-PBE",
  "state": "relaxed",
  "lattice": [[2.800, 0.000, 0.000], [0.000, 3.981, 0.000], [0.000, 0.000, 5.530]],
  "species": ["Al", "Co", "Ag", "Ag"],
  "fractional_positions": [[0.000, 0.000, 0.000], [0.000, 0.000, 0.500], [0.500, 0.500, 0.253], [0.500, 0.500, 0.747]],
  "density_g_cm3": 8.1,
  "delta_e_f_mev_per_atom": 191,
  "crystal_system": "orthorhombic"
}

=====

Record 3
{
  "formula": "IrRuRh2",
  "functional": "GGA-PBE",
  "state": "relaxed",
  "lattice": [[3.833, 0.000, 0.000], [0.000, 3.833, 0.000], [0.000, 0.000, 3.861]],
  "species": ["Ir", "Ru", "Rh", "Rh"],
  "fractional_positions": [[0.000, 0.000, 0.000], [0.500, 0.500, 0.000], [0.000, 0.500, 0.500], [0.500, 0.000, 0.500]],
  "density_g_cm3": 14.6,
  "delta_e_f_mev_per_atom": 18,
  "de_polymorph_ev_per_fu": 0.12,
  "crystal_system": "tetragonal"
}

=====

Record 4
{
  "formula": "Sm4Ag3Ir",
  "functional": "GGA-PBE",
  "state": "relaxed",
  "lattice": [[3.628, 0.000, 0.000], [0.000, 3.628, 0.000], [0.000, 0.000, 14.891]],
  "species": ["Sm", "Sm", "Sm", "Sm", "Ag", "Ag", "Ag", "Ir"],
  "fractional_positions": [[0.000, 0.000, 0.111], [0.000, 0.000, 0.371], [0.000, 0.000, 0.629], [0.000, 0.000, 0.889], [0.500, 0.500, 0.245], [0.500, 0.500, 0.500], [0.500, 0.500, 0.755], [0.500, 0.500, 0.000]],
  "density_g_cm3": 9.5,
  "delta_e_f_mev_per_atom": -386,
  "crystal_system": "tetragonal"
}

=====

Record 5
{
  "formula": "ReSbMo2",
  "functional": "GGA-PBE",
  "state": "relaxed",
  "lattice": [[1.487, 0.859, 8.935], [-1.487, 0.859, 8.935], [0.000, -1.717, 8.935]],
  "species": ["Re", "Sb", "Mo", "Mo"],
  "fractional_positions": [[0.000, 0.000, 0.000], [0.500, 0.500, 0.500], [0.254, 0.254, 0.254], [0.746, 0.746, 0.746]],
  "density_g_cm3": 12.1,
  "formation_energy_uncorrected_ev_per_atom": 0.400,
  "crystal_system": "trigonal"
}

=====

Record 6
{
  "formula": "La2HRuAu",
  "functional": "GGA-PBE",
  "state": "relaxed",
  "lattice": [[5.228, 0.000, 0.000], [0.000, 5.228, 0.000], [0.000, 0.000, 3.732]],
  "species": ["La", "La", "H", "Ru", "Au"],
  "fractional_positions": [[0.000, 0.500, 0.000], [0.500, 0.000, 0.000], [0.000, 0.000, 0.000], [0.000, 0.000, 0.500], [0.500, 0.500, 0.500]],
  "density_g_cm3": 9.4,
  "total_energy_ry_per_atom": -0.4156,
  "crystal_system": "tetragonal"
}

=====

Record 7
{
  "formula": "MgCo3Cl9",
  "functional": "GGA-PBE",
  "state": "relaxed",
  "lattice": [[8.575, -4.348, 0.000], [8.575, 4.348, 0.000], [-7.675, 0.000, 9.750]],
  "species": ["Mg", "Mg", "Co", "Co", "Co", "Co", "Co", "Co", "Cl", "Cl", "Cl", "Cl", "Cl", "Cl", "Cl", "Cl", "Cl", "Cl", "Cl", "Cl", "Cl", "Cl", "Cl", "Cl", "Cl", "Cl"],
  "fractional_positions": [[0.230, 0.770, 0.500], [0.770, 0.230, 0.000], [0.023, 0.251, 0.825], [0.251, 0.023, 0.325], [0.290, 0.439, 0.675], [0.439, 0.290, 0.175], [0.674, 0.797, 0.221], [0.797, 0.674, 0.721], [0.077, 0.192, 0.192], [0.100, 0.925, 0.334], [0.175, 0.411, 0.021], [0.192, 0.077, 0.692], [0.310, 0.666, 0.688], [0.368, 0.437, 0.364], [0.411, 0.175, 0.521], [0.437, 0.368, 0.864], [0.465, 0.772, 0.234], [0.507, 0.992, 0.102], [0.532, 0.775, 0.566], [0.666, 0.310, 0.188], [0.772, 0.465, 0.734], [0.775, 0.532, 0.066], [0.828, 0.894, 0.922], [0.894, 0.828, 0.422], [0.925, 0.100, 0.834], [0.992, 0.507, 0.602]],
  "density_g_cm3": 2.4,
  "formation_energy_uncorrected_ev_per_atom": -0.801,
  "crystal_system": "monoclinic"
}

=====

Record 8
{
  "formula": "U3Tl3FeS8",
  "functional": "GGA-PBE",
  "state": "relaxed",
  "lattice": [[3.882, 2.241, 7.692], [-3.882, 2.241, 7.692], [0.000, -4.483, 7.692]],
  "species": ["U", "U", "U", "Tl", "Tl", "Tl", "Fe", "S", "S", "S", "S", "S", "S", "S", "S"],
  "fractional_positions": [[0.000, 0.500, 0.500], [0.500, 0.000, 0.500], [0.500, 0.500, 0.000], [0.000, 0.000, 0.500], [0.000, 0.500, 0.000], [0.500, 0.000, 0.000], [0.000, 0.000, 0.000], [0.224, 0.224, 0.740], [0.224, 0.740, 0.224], [0.260, 0.776, 0.776], [0.266, 0.266, 0.266], [0.734, 0.734, 0.734], [0.740, 0.224, 0.224], [0.776, 0.260, 0.776], [0.776, 0.776, 0.260]],
  "density_g_cm3": 6.8,
  "formation_energy_uncorrected_ev_per_atom": -0.904,
  "crystal_system": "trigonal"
}

=====

Record 9
{
  "formula": "LaPm2PrEr5",
  "functional": "GGA-PBE",
  "state": "relaxed",
  "lattice": [[-4.362, 4.362, 7.804], [4.362, -4.362, 7.804], [4.362, 4.362, -7.804]],
  "species": ["La", "La", "Pm", "Pm", "Pm", "Pm", "Pr", "Pr", "Er", "Er", "Er", "Er", "Er", "Er", "Er", "Er", "Er", "Er"],
  "fractional_positions": [[0.250, 0.250, 0.000], [0.750, 0.750, 0.000], [0.117, 0.617, 0.735], [0.383, 0.117, 0.500], [0.617, 0.883, 0.500], [0.883, 0.383, 0.265], [0.250, 0.750, 0.500], [0.750, 0.250, 0.500], [0.000, 0.000, 0.000], [0.073, 0.157, 0.500], [0.157, 0.657, 0.084], [0.343, 0.427, 0.500], [0.427, 0.927, 0.084], [0.500, 0.500, 0.000], [0.573, 0.073, 0.916], [0.657, 0.573, 0.500], [0.843, 0.343, 0.916], [0.927, 0.843, 0.500]],
  "density_g_cm3": 7.9,
  "delta_e_f_mev_per_atom": 245,
  "crystal_system": "tetragonal"
}

=====

Record 10
{
  "formula": "K3YTa",
  "functional": "GGA-PBE",
  "state": "relaxed",
  "lattice": [[6.736, 0.000, 0.000], [0.000, 6.736, 0.000], [0.000, 0.000, 6.736]],
  "species": ["K", "K", "K", "Y", "Ta"],
  "fractional_positions": [[0.000, 0.000, 0.500], [0.000, 0.500, 0.000], [0.500, 0.000, 0.000], [0.000, 0.000, 0.000], [0.500, 0.500, 0.500]],
  "density_g_cm3": 2.1,
  "delta_e_f_mev_per_atom": 2121,
  "de_polymorph_ev_per_fu": 1.62,
  "crystal_system": "cubic"
}

=====

Record 11
{
  "formula": "NbBSbI2",
  "functional": "GGA-PBE",
  "state": "relaxed",
  "lattice": [[6.085, 0.000, 0.000], [0.000, 6.085, 0.000], [0.000, 0.000, 4.228]],
  "species": ["Nb", "B", "Sb", "I", "I"],
  "fractional_positions": [[0.000, 0.000, 0.000], [0.500, 0.500, 0.000], [0.500, 0.500, 0.500], [0.000, 0.500, 0.500], [0.500, 0.000, 0.500]],
  "density_g_cm3": 5.1,
  "formation_energy_uncorrected_ev_per_atom": 1.537,
  "de_polymorph_ev_per_fu": 1.71,
  "crystal_system": "tetragonal"
}

=====

Record 12
{
  "formula": "GaCoI2N",
  "functional": "GGA-PBE",
  "state": "relaxed",
  "lattice": [[5.765, 0.000, 0.000], [0.000, 5.765, 0.000], [0.000, 0.000, 3.612]],
  "species": ["Ga", "Co", "I", "I", "N"],
  "fractional_positions": [[0.000, 0.000, 0.000], [0.500, 0.500, 0.500], [0.000, 0.500, 0.000], [0.500, 0.000, 0.000], [0.000, 0.000, 0.500]],
  "density_g_cm3": 5.5,
  "formation_energy_uncorrected_ev_per_atom": 0.949,
  "de_polymorph_ev_per_fu": 3.14,
  "crystal_system": "tetragonal"
}

=====

Record 13
{
  "formula": "In2AgRu",
  "functional": "GGA-PBE",
  "state": "relaxed",
  "lattice": [[3.255, 0.000, 0.000], [0.000, 3.255, 0.000], [0.000, 0.000, 7.038]],
  "species": ["In", "In", "Ag", "Ru"],
  "fractional_positions": [[0.000, 0.000, 0.226], [0.000, 0.000, 0.774], [0.500, 0.500, 0.500], [0.500, 0.500, 0.000]],
  "density_g_cm3": 9.8,
  "delta_e_f_mev_per_atom": 52,
  "crystal_system": "tetragonal"
}

=====

Record 14
{
  "formula": "NbTeS3",
  "functional": "GGA-PBE",
  "state": "relaxed",
  "lattice": [[4.971, 0.000, 0.000], [0.000, 4.971, 0.000], [0.000, 0.000, 4.971]],
  "species": ["Nb", "Te", "S", "S", "S"],
  "fractional_positions": [[0.000, 0.000, 0.000], [0.500, 0.500, 0.500], [0.000, 0.500, 0.500], [0.500, 0.000, 0.500], [0.500, 0.500, 0.000]],
  "density_g_cm3": 4.3,
  "formation_energy_uncorrected_ev_per_atom": 0.921,
  "de_polymorph_ev_per_fu": 6.85,
  "crystal_system": "cubic"
}

=====

Record 15
{
  "formula": "MoP2Ru",
  "functional": "GGA-PBE",
  "state": "relaxed",
  "lattice": [[3.178, 0.000, 0.000], [0.000, 3.178, 0.000], [0.000, 0.000, 5.464]],
  "species": ["Mo", "P", "P", "Ru"],
  "fractional_positions": [[0.000, 0.000, 0.000], [0.000, 0.000, 0.458], [0.500, 0.500, 0.174], [0.500, 0.500, 0.623]],
  "density_g_cm3": 7.8,
  "delta_e_f_mev_per_atom": -320,
  "crystal_system": "tetragonal"
}

=====

Record 16
{
  "formula": "PtS2N4O8",
  "functional": "GGA-PBE",
  "state": "relaxed",
  "lattice": [[5.250, -4.070, 0.000], [5.250, 4.070, 0.000], [-1.970, 0.000, 5.804]],
  "species": ["Pt", "S", "S", "N", "N", "N", "N", "O", "O", "O", "O", "O", "O", "O", "O"],
  "fractional_positions": [[0.000, 0.000, 0.000], [0.287, 0.287, 0.384], [0.713, 0.713, 0.616], [0.148, 0.148, 0.847], [0.249, 0.751, 0.000], [0.751, 0.249, 0.000], [0.852, 0.852, 0.153], [0.129, 0.129, 0.326], [0.176, 0.474, 0.284], [0.337, 0.337, 0.636], [0.474, 0.176, 0.284], [0.526, 0.824, 0.716], [0.663, 0.663, 0.364], [0.824, 0.526, 0.716], [0.871, 0.871, 0.674]],
  "density_g_cm3": 3.0,
  "formation_energy_uncorrected_ev_per_atom": 0.617,
  "crystal_system": "monoclinic"
}

=====

Record 17
{
  "formula": "Ac3Cd2CuPd9",
  "functional": "GGA-PBE",
  "state": "relaxed",
  "lattice": [[7.785, 0.000, 0.000], [-3.893, 6.742, 0.000], [0.000, 0.000, 6.745]],
  "species": ["Ac", "Ac", "Ac", "Cd", "Cd", "Cu", "Pd", "Pd", "Pd", "Pd", "Pd", "Pd", "Pd", "Pd", "Pd"],
  "fractional_positions": [[0.000, 0.000, 0.000], [0.333, 0.667, 0.675], [0.667, 0.333, 0.325], [0.333, 0.667, 0.186], [0.667, 0.333, 0.814], [0.000, 0.000, 0.500], [0.000, 0.500, 0.000], [0.160, 0.319, 0.343], [0.160, 0.840, 0.343], [0.319, 0.160, 0.657], [0.500, 0.000, 0.000], [0.500, 0.500, 0.000], [0.681, 0.840, 0.343], [0.840, 0.160, 0.657], [0.840, 0.681, 0.657]],
  "density_g_cm3": 9.0,
  "delta_e_f_mev_per_atom": -268,
  "crystal_system": "trigonal"
}

=====

Record 18
{
  "formula": "La6Pr2Y",
  "functional": "GGA-PBE",
  "state": "relaxed",
  "lattice": [[3.695, 0.000, 0.000], [-1.848, 3.200, 0.000], [0.000, 0.000, 27.800]],
  "species": ["La", "La", "La", "La", "La", "La", "Pr", "Pr", "Y"],
  "fractional_positions": [[0.000, 0.000, 0.062], [0.000, 0.000, 0.282], [0.000, 0.000, 0.718], [0.000, 0.000, 0.938], [0.333, 0.667, 0.394], [0.333, 0.667, 0.606], [0.333, 0.667, 0.170], [0.333, 0.667, 0.830], [0.000, 0.000, 0.500]],
  "density_g_cm3": 6.1,
  "delta_e_f_mev_per_atom": 54,
  "de_polymorph_ev_per_fu": 0.00,
  "crystal_system": "hexagonal"
}

=====

Record 19
{
  "formula": "ReSb2PdI",
  "functional": "GGA-PBE",
  "state": "relaxed",
  "lattice": [[5.049, 0.000, 0.000], [0.000, 5.049, 0.000], [0.000, 0.000, 5.860]],
  "species": ["Re", "Sb", "Sb", "Pd", "I"],
  "fractional_positions": [[0.000, 0.000, 0.000], [0.000, 0.500, 0.000], [0.500, 0.000, 0.000], [0.500, 0.500, 0.500], [0.000, 0.000, 0.500]],
  "density_g_cm3": 7.4,
  "formation_energy_uncorrected_ev_per_atom": 0.913,
  "de_polymorph_ev_per_fu": 0.00,
  "crystal_system": "tetragonal"
}

=====

Record 20
{
  "formula": "Nb2VRu2",
  "functional": "GGA-PBE",
  "state": "relaxed",
  "lattice": [[-2.130, 2.130, 5.254], [2.130, -2.130, 5.254], [2.130, 2.130, -5.254]],
  "species": ["Nb", "Nb", "V", "Ru", "Ru"],
  "fractional_positions": [[0.250, 0.750, 0.500], [0.750, 0.250, 0.500], [0.000, 0.000, 0.000], [0.385, 0.385, 0.000], [0.615, 0.615, 0.000]],
  "density_g_cm3": 7.6,
  "delta_e_f_mev_per_atom": 408,
  "de_polymorph_ev_per_fu": 1.63,
  "crystal_system": "tetragonal"
}

=====

Record 21
{
  "formula": "PdPt2Rh7",
  "functional": "GGA-PBE",
  "state": "relaxed",
  "lattice": [[3.522, -7.072, 0.000], [3.522, 7.072, 0.000], [0.000, 0.000, 3.626]],
  "species": ["Pd", "Pt", "Pt", "Rh", "Rh", "Rh", "Rh", "Rh", "Rh", "Rh"],
  "fractional_positions": [[0.000, 0.000, 0.000], [0.313, 0.687, 0.500], [0.687, 0.313, 0.500], [0.089, 0.290, 0.500], [0.192, 0.808, 0.000], [0.290, 0.089, 0.500], [0.500, 0.500, 0.500], [0.710, 0.911, 0.500], [0.808, 0.192, 0.000], [0.911, 0.710, 0.500]],
  "density_g_cm3": 11.2,
  "delta_e_f_mev_per_atom": 651,
  "crystal_system": "orthorhombic"
}

=====

Record 22
{
  "formula": "Ti5ZnH",
  "functional": "GGA-PBE",
  "state": "relaxed",
  "lattice": [[4.498, -2.706, 0.000], [4.498, 2.706, 0.000], [-2.617, 0.000, 8.454]],
  "species": ["Ti", "Ti", "Ti", "Ti", "Ti", "Ti", "Ti", "Ti", "Ti", "Ti", "Zn", "Zn", "H", "H"],
  "fractional_positions": [[0.002, 0.432, 0.647], [0.015, 0.985, 0.750], [0.175, 0.598, 0.968], [0.402, 0.825, 0.532], [0.432, 0.002, 0.147], [0.568, 0.998, 0.853], [0.598, 0.175, 0.468], [0.825, 0.402, 0.032], [0.985, 0.015, 0.250], [0.998, 0.568, 0.353], [0.486, 0.514, 0.250], [0.514, 0.486, 0.750], [0.000, 0.000, 0.000], [0.000, 0.000, 0.500]],
  "density_g_cm3": 4.9,
  "total_energy_ry_per_atom": -0.4689,
  "crystal_system": "monoclinic"
}

=====

Record 23
{
  "formula": "Dy15Tm4Al",
  "functional": "GGA-PBE",
  "state": "relaxed",
  "lattice": [[4.926, 0.000, 0.000], [0.000, 4.926, 0.000], [0.000, 0.000, 24.916]],
  "species": ["Dy", "Dy", "Dy", "Dy", "Dy", "Dy", "Dy", "Dy", "Dy", "Dy", "Dy", "Dy", "Dy", "Dy", "Dy", "Tm", "Tm", "Tm", "Tm", "Al"],
  "fractional_positions": [[0.000, 0.000, 0.000], [0.000, 0.000, 0.195], [0.000, 0.000, 0.398], [0.000, 0.000, 0.602], [0.000, 0.000, 0.805], [0.000, 0.500, 0.094], [0.000, 0.500, 0.297], [0.000, 0.500, 0.500], [0.000, 0.500, 0.703], [0.000, 0.500, 0.906], [0.500, 0.000, 0.094], [0.500, 0.000, 0.297], [0.500, 0.000, 0.500], [0.500, 0.000, 0.703], [0.500, 0.000, 0.906], [0.500, 0.500, 0.196], [0.500, 0.500, 0.399], [0.500, 0.500, 0.601], [0.500, 0.500, 0.804], [0.500, 0.500, 0.000]],
  "density_g_cm3": 8.6,
  "delta_e_f_mev_per_atom": -13,
  "crystal_system": "tetragonal"
}